Model 1:
This record from Alexandria via LeMat-Bulk describes LiZr2P3O12 after structural relaxation. The functional is PBEsol.

a = 15.2954 Å, b = 9.0073 Å, c = 9.0007 Å
α = 90.00°, β = 125.26°, γ = 90.00°
Last column: nearest neighbours and their distance in Å.
Space group C2 (No. 5)
Unique sites:
Li: 0.2438 0.0000 0.1938 (multiplicity 4)  4 O 2.02-2.17
Zr: 0.1102 0.1727 0.8253 (multiplicity 4)  6 O 2.03-2.11
Zr: 0.1124 0.6699 0.3317 (multiplicity 4)  6 O 2.04-2.10
P: 0.0000 0.8882 0.5000 (multiplicity 2)  4 O 1.53-1.54
P: 0.0000 0.9538 0.0000 (multiplicity 2)  4 O 1.53-1.55
P: 0.1425 0.5215 0.0010 (multiplicity 4)  4 O 1.53-1.56
P: 0.1481 0.3192 0.5156 (multiplicity 4)  4 O 1.53-1.56
O: 0.0366 0.2631 0.3642 (multiplicity 4)  1 P 1.53
O: 0.0373 0.5824 0.8340 (multiplicity 4)  1 P 1.54
O: 0.0689 0.8588 0.1711 (multiplicity 4)  1 P 1.53
O: 0.0692 0.9886 0.6675 (multiplicity 4)  1 P 1.54
O: 0.0734 0.7885 0.4790 (multiplicity 4)  1 P 1.53
O: 0.0801 0.0529 0.9918 (multiplicity 4)  1 P 1.55
O: 0.1444 0.3513 0.9907 (multiplicity 4)  1 P 1.54
O: 0.1560 0.5685 0.1762 (multiplicity 4)  1 P 1.53
O: 0.1591 0.4899 0.5118 (multiplicity 4)  1 P 1.55
O: 0.1731 0.2930 0.7075 (multiplicity 4)  1 P 1.56
O: 0.2312 0.2422 0.4997 (multiplicity 4)  1 P 1.53
O: 0.2352 0.5824 0.9927 (multiplicity 4)  1 P 1.56

## Properties
Crystal system: monoclinic
Calculated density, Mg/m³: 3.11
N(E_F), states/eV per atom: 0.00

Model 2:
This record from Alexandria via LeMat-Bulk describes LiZr2P3O12 after structural relaxation. The functional is PBEsol.

a = 8.7491 Å, b = 8.8043 Å, c = 9.1439 Å
α = 118.59°, β = 90.72°, γ = 118.96°
Last column: nearest neighbours and their distance in Å.
Space group P-1 (No. 2)
Unique sites:
Li: 0.2381 0.1895 0.3875 (multiplicity 2)  4 O 2.01-2.19
Zr: 0.1420 0.7826 0.4285 (multiplicity 2)  6 O 2.03-2.17
Zr: 0.3661 0.2102 0.0655 (multiplicity 2)  6 O 2.03-2.14
P: 0.0303 0.2727 0.2529 (multiplicity 2)  4 O 1.52-1.55
P: 0.2530 0.2818 0.7382 (multiplicity 2)  4 O 1.53-1.55
P: 0.4569 0.9912 0.2442 (multiplicity 2)  4 O 1.53-1.55
O: 0.0204 0.2326 0.4018 (multiplicity 2)  1 P 1.55
O: 0.0514 0.4795 0.3153 (multiplicity 2)  1 P 1.53
O: 0.0733 0.2738 0.7308 (multiplicity 2)  1 P 1.54
O: 0.1395 0.9053 0.9090 (multiplicity 2)  1 P 1.52
O: 0.2060 0.2854 0.2141 (multiplicity 2)  1 P 1.54
O: 0.2300 0.1051 0.5581 (multiplicity 2)  1 P 1.55
O: 0.2993 0.2618 0.8877 (multiplicity 2)  1 P 1.53
O: 0.3060 0.8408 0.2817 (multiplicity 2)  1 P 1.54
O: 0.3563 0.8776 0.6156 (multiplicity 2)  1 P 1.53
O: 0.4038 0.1382 0.2498 (multiplicity 2)  1 P 1.55
O: 0.4104 0.4879 0.7676 (multiplicity 2)  1 P 1.54
O: 0.4675 0.8664 0.0618 (multiplicity 2)  1 P 1.53

## Properties
Crystal system: triclinic
Calculated density, Mg/m³: 3.07
N(E_F), states/eV per atom: 0.00

Sorted by energy, starting with the most stable: model 2, model 1.

Model 1:
This record from Alexandria via LeMat-Bulk describes Cd2HgAu after structural relaxation. The functional is PBEsol.

a = 4.2386 Å, b = 4.2386 Å, c = 8.6487 Å
α = 90.00°, β = 90.00°, γ = 90.00°
Last column: nearest neighbours and their distance in Å.
Space group I-4m2 (No. 119)
Unique sites:
Cd: 0.0000 0.0000 0.0000 (multiplicity 2)  4 Hg 3.00, 4 Cd 3.03, 4 Au 3.03
Cd: 0.0000 0.5000 0.2500 (multiplicity 2)  4 Au 3.00, 4 Hg 3.03, 4 Cd 3.03
Hg: 0.0000 0.0000 0.5000 (multiplicity 2)  8 Cd 3.00-3.03, 4 Au 3.03
Au: 0.0000 0.5000 0.7500 (multiplicity 2)  8 Cd 3.00-3.03, 4 Hg 3.03

## Properties
Crystal system: tetragonal
Calculated density, Mg/m³: 13.30
N(E_F), states/eV per atom: 0.39

Model 2:
This record from Alexandria via LeMat-Bulk describes Cd2HgAu after structural relaxation. The functional is PBEsol.

a = 3.1810 Å, b = 4.7195 Å, c = 5.1776 Å
α = 90.00°, β = 90.00°, γ = 90.00°
Last column: nearest neighbours and their distance in Å.
Space group Pmm2 (No. 25)
Unique sites:
Cd: 0.0000 0.0000 0.0000 (multiplicity 1)  4 Hg 2.96, 4 Cd 2.99-3.18, 4 Au 3.01-3.06
Cd: 0.0000 0.5000 0.3549 (multiplicity 1)  4 Au 2.94, 4 Cd 2.99-3.18, 4 Hg 2.99-3.08
Hg: 0.5000 0.5000 0.8448 (multiplicity 1)  8 Cd 2.96-3.08, 2 Au 2.98, 2 Hg 3.18
Au: 0.5000 0.0000 0.4940 (multiplicity 1)  8 Cd 2.94-3.06, 2 Hg 2.98, 2 Au 3.18

## Properties
Crystal system: orthorhombic
Calculated density, Mg/m³: 13.30
N(E_F), states/eV per atom: 0.25

Sorted by energy, starting with the most stable: model 2, model 1.

Model 1:
This record from Alexandria via LeMat-Bulk describes CdAg2Cl after structural relaxation. The functional is PBEsol.

a = 6.7750 Å, b = 6.7750 Å, c = 6.7750 Å
α = 90.00°, β = 90.00°, γ = 90.00°
Last column: nearest neighbours and their distance in Å.
Space group Fm-3m (No. 225)
Unique sites:
Cd: 0.0000 0.0000 0.0000 (multiplicity 4)  8 Ag 2.93
Ag: 0.2500 0.2500 0.2500 (multiplicity 8)  4 Cd 2.93, 4 Cl 2.93
Cl: 0.0000 0.0000 0.5000 (multiplicity 4)  8 Ag 2.93

## Properties
Crystal system: cubic
Calculated density, Mg/m³: 7.77
N(E_F), states/eV per atom: 0.30

Model 2:
This record from Alexandria via LeMat-Bulk describes CdAg2Cl after structural relaxation. The functional is PBEsol.

a = 6.7849 Å, b = 6.7849 Å, c = 6.7849 Å
α = 90.00°, β = 90.00°, γ = 90.00°
Last column: nearest neighbours and their distance in Å.
Space group F-43m (No. 216)
Unique sites:
Cd: 0.0000 0.0000 0.0000 (multiplicity 4)  4 Cl 2.94, 4 Ag 2.94
Ag: 0.0000 0.0000 0.5000 (multiplicity 4)  4 Cl 2.94, 4 Ag 2.94
Ag: 0.2500 0.2500 0.7500 (multiplicity 4)  4 Cd 2.94, 4 Ag 2.94
Cl: 0.2500 0.2500 0.2500 (multiplicity 4)  4 Cd 2.94, 4 Ag 2.94

## Properties
Crystal system: cubic
Calculated density, Mg/m³: 7.73
N(E_F), states/eV per atom: 0.55

Sorted by energy, starting with the most stable: model 1, model 2.

Model 1:
This record from Alexandria via LeMat-Bulk describes CuRh2 after structural relaxation. The functional is PBEsol.

a = 5.2887 Å, b = 3.7023 Å, c = 7.9229 Å
α = 90.00°, β = 90.00°, γ = 90.00°
Last column: nearest neighbours and their distance in Å.
Space group Pnma (No. 62)
Unique sites:
Cu: 0.1173 0.2500 0.0806 (multiplicity 4)  2 Cu 2.57, 10 Rh 2.61-2.68
Rh: 0.1237 0.2500 0.4168 (multiplicity 4)  5 Cu 2.61-2.68, 7 Rh 2.61-2.64
Rh: 0.1293 0.2500 0.7463 (multiplicity 4)  7 Rh 2.61-2.65, 5 Cu 2.64-2.65

## Properties
Crystal system: orthorhombic
Calculated density, Mg/m³: 11.53
N(E_F), states/eV per atom: 1.48

Model 2:
This record from Alexandria via LeMat-Bulk describes CuRh2 after structural relaxation. The functional is PBEsol.

a = 2.6779 Å, b = 3.6878 Å, c = 7.8329 Å
α = 90.00°, β = 90.00°, γ = 90.00°
Last column: nearest neighbours and their distance in Å.
Space group Immm (No. 71)
Unique sites:
Cu: 0.0000 0.0000 0.0000 (multiplicity 2)  10 Rh 2.61-2.63, 2 Cu 2.68
Rh: 0.0000 0.0000 0.3333 (multiplicity 4)  7 Rh 2.61-2.68, 5 Cu 2.61-2.63

## Properties
Crystal system: orthorhombic
Calculated density, Mg/m³: 11.56
N(E_F), states/eV per atom: 1.47

Sorted by energy, starting with the most stable: model 2, model 1.

Model 1:
This record from Alexandria via LeMat-Bulk describes AgAu3 after structural relaxation. The functional is PBEsol.

a = 9.1177 Å, b = 9.1177 Å, c = 2.8079 Å
α = 90.00°, β = 90.00°, γ = 120.00°
Last column: nearest neighbours and their distance in Å.
Space group R-3m (No. 166, hexagonal axes)
Unique sites:
Ag: 0.0000 0.0000 0.0000 (multiplicity 3)  6 Au 2.79, 2 Ag 2.81
Au: 0.0000 0.5000 0.0000 (multiplicity 9)  2 Ag 2.79, 6 Au 2.79-2.81

## Properties
Crystal system: trigonal
Calculated density, Mg/m³: 17.22
N(E_F), states/eV per atom: 0.26

Model 2:
This record from Alexandria via LeMat-Bulk describes AgAu3 after structural relaxation. The functional is PBEsol.

a = 2.8511 Å, b = 9.5414 Å, c = 4.9455 Å
α = 90.00°, β = 90.00°, γ = 90.00°
Last column: nearest neighbours and their distance in Å.
Space group Imm2 (No. 44)
Unique sites:
Ag: 0.0000 0.0000 0.0000 (multiplicity 2)  10 Au 2.85-2.90, 2 Ag 2.85
Au: 0.0000 0.2495 0.3339 (multiplicity 4)  9 Au 2.85-2.90, 3 Ag 2.90
Au: 0.0000 0.5000 0.0019 (multiplicity 2)  4 Ag 2.85-2.86, 8 Au 2.85-2.90

## Properties
Crystal system: orthorhombic
Calculated density, Mg/m³: 17.25
N(E_F), states/eV per atom: 0.33

Sorted by energy, starting with the most stable: model 2, model 1.

Model 1:
This record from Alexandria via LeMat-Bulk describes Li2CuNi after structural relaxation. The functional is PBEsol.

a = 2.4716 Å, b = 4.1832 Å, c = 4.4493 Å
α = 90.00°, β = 94.73°, γ = 90.00°
Last column: nearest neighbours and their distance in Å.
Space group P2/m (No. 10)
Unique sites:
Li: 0.2469 0.0000 0.2562 (multiplicity 2)  6 Li 2.41-2.69, 2 Ni 2.46, 2 Cu 2.49
Cu: 0.5000 0.5000 0.0000 (multiplicity 1)  4 Ni 2.45-2.63, 2 Cu 2.47, 4 Li 2.49
Ni: 0.0000 0.5000 0.5000 (multiplicity 1)  4 Cu 2.45-2.63, 4 Li 2.46, 2 Ni 2.47

## Properties
Crystal system: monoclinic
Calculated density, Mg/m³: 4.93
N(E_F), states/eV per atom: 0.48

Model 2:
This record from Alexandria via LeMat-Bulk describes Li2CuNi after structural relaxation. The functional is PBEsol.

a = 2.4527 Å, b = 2.4527 Å, c = 7.6943 Å
α = 90.00°, β = 90.00°, γ = 90.00°
Last column: nearest neighbours and their distance in Å.
Space group P4/mmm (No. 123)
Unique sites:
Li: 0.0000 0.0000 0.2414 (multiplicity 2)  4 Li 2.45, 4 Ni 2.54, 4 Cu 2.64
Cu: 0.5000 0.5000 0.5000 (multiplicity 1)  4 Cu 2.45, 8 Li 2.64
Ni: 0.5000 0.5000 0.0000 (multiplicity 1)  4 Ni 2.45, 8 Li 2.54

## Properties
Crystal system: tetragonal
Calculated density, Mg/m³: 4.88
N(E_F), states/eV per atom: 0.55

Sorted by energy, starting with the most stable: model 1, model 2.